No. 1
A relaxed ScHCl2 crystal. Source: Alexandria via LeMat-Bulk, functional PBE.

a = 6.284 Å, b = 6.284 Å, c = 6.284 Å
α = 90.00°, β = 90.00°, γ = 90.00°
Space group Fm-3m (No. 225)
Asymmetric unit:
Sc  0.000  0.000  0.000 x4
H  0.000  0.000  0.500 x4
Cl  0.250  0.250  0.250 x8

Total moment = 0.000 μB per atom
Energy = -4.1755 eV/atom


No. 2
A relaxed Sc2HCl3 crystal. Source: Alexandria via LeMat-Bulk, functional PBE.

a = 16.464 Å, b = 3.504 Å, c = 10.183 Å
α = 90.00°, β = 122.02°, γ = 90.00°
Space group C2/m (No. 12)
Asymmetric unit:
Sc  0.073  0.000  0.459 x4
Sc  0.137  0.500  0.798 x4
H  0.076  0.000  0.664 x4
Cl  0.034  0.500  0.246 x4
Cl  0.168  0.000  0.009 x4
Cl  0.205  0.500  0.615 x4

Total moment = 0.167 μB per atom
Energy = -5.1637 eV/atom


No. 3
A relaxed ScHCl2 crystal. Source: Alexandria via LeMat-Bulk, functional PBE.

a = 9.359 Å, b = 9.359 Å, c = 3.869 Å
α = 90.00°, β = 90.00°, γ = 90.00°
Space group I-42d (No. 122)
Asymmetric unit:
Sc  0.000  0.000  0.000 x4
H  0.000  0.000  0.500 x4
Cl  0.079  0.250  0.125 x8

Total moment = 0.000 μB per atom
Energy = -4.7599 eV/atom


No. 4
A relaxed ScHCl4 crystal. Source: Alexandria via LeMat-Bulk, functional PBE.

a = 5.941 Å, b = 17.744 Å, c = 6.526 Å
α = 90.00°, β = 94.25°, γ = 90.00°
Space group C2/c (No. 15)
Asymmetric unit:
Sc  0.000  0.052  0.250 x4
H  0.000  0.353  0.750 x4
Cl  0.227  0.049  0.587 x8
Cl  0.239  0.347  0.866 x8

Total moment = 0.000 μB per atom
Energy = -4.3913 eV/atom


No. 5
A relaxed ScH2Cl crystal. Source: Alexandria via LeMat-Bulk, functional PBE.

a = 5.648 Å, b = 5.648 Å, c = 5.648 Å
α = 90.00°, β = 90.00°, γ = 90.00°
Space group Fm-3m (No. 225)
Asymmetric unit:
Sc  0.000  0.000  0.000 x4
H  0.250  0.250  0.250 x8
Cl  0.000  0.000  0.500 x4

Total moment = 0.000 μB per atom
Energy = -3.9618 eV/atom


No. 6
A relaxed ScHCl crystal. Source: Alexandria via LeMat-Bulk, functional PBE.

a = 6.061 Å, b = 3.500 Å, c = 9.397 Å
α = 90.00°, β = 102.16°, γ = 90.00°
Space group C2/m (No. 12)
Asymmetric unit:
Sc  0.122  0.000  0.363 x4
H  0.193  0.000  0.581 x4
Cl  0.102  0.500  0.813 x4

Total moment = 0.000 μB per atom
Energy = -5.2154 eV/atom


No. 7
A relaxed ScH2Cl2 crystal. Source: Alexandria via LeMat-Bulk, functional PBE.

a = 4.656 Å, b = 4.656 Å, c = 6.534 Å
α = 90.00°, β = 90.00°, γ = 90.00°
Space group I4/mmm (No. 139)
Asymmetric unit:
Sc  0.000  0.000  0.000 x2
H  0.000  0.000  0.442 x4
Cl  0.000  0.500  0.250 x4

Total moment = 0.200 μB per atom
Energy = -4.2246 eV/atom


No. 8
A relaxed ScHCl2 crystal. Source: Alexandria via LeMat-Bulk, functional PBE.

a = 3.5708 Å, b = 3.5708 Å, c = 26.3995 Å
α = 90.00°, β = 90.00°, γ = 120.00°
Space group R-3m (No. 166, hexagonal axes)
Asymmetric unit:
Sc  0.0000  0.0000  0.0000 x3
H  0.0000  0.0000  0.5000 x3
Cl  0.0000  0.0000  0.3920 x6

Total moment = 0.092 μB per atom
Energy = -4.1830 eV/atom


Question: Which value of energy does entry 7 give?
Answer: -4.2246 eV/atom


Question: Which formula does entry 8 have?
Answer: ScHCl2


Question: Which formula does entry 3 have?
Answer: ScHCl2